1) {"formula": "CdFeTeRu", "functional": "PBE-GGA", "state": "optimized geometry", "m_tot_mub_per_cell": 6.45, "sg": "No. 107", "cell": [[-3.0283, -1.1351, 0.3019], [0.3510, -0.0796, 3.2210], [-5.2468, 14.2430, 0.9237]], "species": ["Ru", "Ru", "Te", "Te", "Fe", "Fe", "Cd", "Cd"], "fractional_positions": [[0.0000, 0.5000, 0.6307], [0.5000, 0.0000, 0.1307], [0.0000, 0.5000, 0.8100], [0.5000, 0.0000, 0.3100], [0.0000, 0.5000, 0.2101], [0.5000, 0.0000, 0.7101], [0.0000, 0.5000, 0.0175], [0.5000, 0.0000, 0.5175]]}

2) {"formula": "CdFeTeRu", "functional": "PBE-GGA", "state": "optimized geometry", "m_tot_mub_per_cell": 2.35, "sg": "No. 156", "cell": [[4.0550, 0.0000, 0.0000], [-2.0275, 3.5118, 0.0000], [0.0000, 0.0000, 6.3118]], "species": ["Ru", "Te", "Fe", "Cd"], "fractional_positions": [[0.6667, 0.3333, 0.1171], [0.0000, 0.0000, 0.8948], [0.3333, 0.6667, 0.1825], [0.0000, 0.0000, 0.4319]]}

Most stable one: 1), least stable one: 2).